Entry from the Alexandria database: DyTm3 at its PBEsol-relaxed geometry (meta-GGA SCAN).

Lattice parameters (Å, degrees): 5.4487 7.0064 7.0064 120.00 90.00 90.00
Sites, in units of the cell vectors:
Tm 0.2500 0.6675 0.8337
Tm 0.2500 0.1663 0.3325
Tm 0.2500 0.1663 0.8337
Tm 0.7500 0.3325 0.1663
Tm 0.7500 0.8337 0.6675
Tm 0.7500 0.8337 0.1663
Dy 0.7500 0.3333 0.6667
Dy 0.2500 0.6667 0.3333

## Properties
VASP energy: -406.56 eV/cell



Entry from the Alexandria database: Dy3V at its PBEsol-relaxed geometry (meta-GGA SCAN).

Lattice parameters (Å, degrees): 5.2416 5.2416 5.2416 60.00 60.00 60.00
Sites, in units of the cell vectors:
Dy 0.2500 0.2500 0.2500
Dy 0.7500 0.7500 0.7500
Dy 0.5000 0.5000 0.5000
V 0.0000 0.0000 0.0000

## Properties
VASP energy: -160.17 eV/cell



Entry from the Alexandria database: DyY3 at its PBEsol-relaxed geometry (meta-GGA SCAN).

Lattice parameters (Å, degrees): 5.5659 7.1433 7.1433 120.00 90.00 90.00
Sites, in units of the cell vectors:
Y 0.2500 0.6656 0.8328
Y 0.2500 0.1672 0.3344
Y 0.2500 0.1672 0.8328
Y 0.7500 0.3344 0.1672
Y 0.7500 0.8328 0.6656
Y 0.7500 0.8328 0.1672
Dy 0.7500 0.3333 0.6667
Dy 0.2500 0.6667 0.3333

## Properties
VASP energy: -262.50 eV/cell



Entry from the Alexandria database: DyZn at its PBEsol-relaxed geometry (meta-GGA SCAN).

Lattice parameters (Å, degrees): 3.4987 3.4987 3.4987 90.00 90.00 90.00
Sites, in units of the cell vectors:
Zn 0.0000 0.0000 0.0000
Dy 0.5000 0.5000 0.5000

## Properties
VASP energy: -62.14 eV/cell



Entry from the Alexandria database: DyZn3 at its PBEsol-relaxed geometry (meta-GGA SCAN).

Lattice parameters (Å, degrees): 4.3088 6.5544 9.8665 90.00 90.00 90.00
Sites, in units of the cell vectors:
Dy 0.7500 0.2231 0.8392
Dy 0.2500 0.7769 0.1608
Dy 0.7500 0.7231 0.6608
Dy 0.2500 0.2769 0.3392
Zn 0.7500 0.9622 0.3944
Zn 0.2500 0.0378 0.6056
Zn 0.7500 0.4622 0.1056
Zn 0.2500 0.5378 0.8944
Zn 0.2500 0.2205 0.0442
Zn 0.7500 0.7795 0.9558
Zn 0.2500 0.7205 0.4558
Zn 0.7500 0.2795 0.5442
Zn 0.2500 0.9202 0.8540
Zn 0.7500 0.0798 0.1460
Zn 0.2500 0.4202 0.6460
Zn 0.7500 0.5798 0.3540

## Properties
VASP energy: -360.41 eV/cell



Entry from the Alexandria database: EuEr2O4 at its PBEsol-relaxed geometry (meta-GGA SCAN).

Lattice parameters (Å, degrees): 3.3417 9.7766 11.7022 90.00 90.00 90.00
Sites, in units of the cell vectors:
Eu 0.7500 0.7503 0.3492
Eu 0.2500 0.2497 0.6508
Eu 0.2500 0.7497 0.8492
Eu 0.7500 0.2503 0.1508
Er 0.7500 0.9245 0.6109
Er 0.2500 0.0755 0.3891
Er 0.2500 0.5755 0.1109
Er 0.7500 0.4245 0.8891
Er 0.7500 0.4192 0.3892
Er 0.2500 0.5808 0.6108
Er 0.2500 0.0808 0.8892
Er 0.7500 0.9192 0.1108
O 0.7500 0.9254 0.9206
O 0.2500 0.0746 0.0794
O 0.2500 0.5746 0.4206
O 0.7500 0.4254 0.5794
O 0.7500 0.6300 0.9814
O 0.2500 0.3700 0.0186
O 0.2500 0.8700 0.4814
O 0.7500 0.1300 0.5187
O 0.7500 0.7135 0.6792
O 0.2500 0.2865 0.3208
O 0.2500 0.7865 0.1792
O 0.7500 0.2135 0.8208
O 0.7500 0.5119 0.2167
O 0.2500 0.4881 0.7833
O 0.2500 0.9881 0.7167
O 0.7500 0.0119 0.2833

## Properties
E_form (uncorrected): -3709 meV/atom



Entry from the Alexandria database: EuEr2Se4 at its PBEsol-relaxed geometry (meta-GGA SCAN).

Lattice parameters (Å, degrees): 4.0330 12.1569 14.5895 90.00 90.00 90.00
Sites, in units of the cell vectors:
Eu 0.7500 0.7425 0.1649
Eu 0.7500 0.2425 0.3351
Eu 0.2500 0.2575 0.8351
Eu 0.2500 0.7575 0.6649
Er 0.7500 0.0815 0.5975
Er 0.7500 0.5815 0.9025
Er 0.2500 0.9185 0.4025
Er 0.2500 0.4185 0.0975
Er 0.7500 0.0679 0.1096
Er 0.7500 0.5679 0.3904
Er 0.2500 0.9321 0.8904
Er 0.2500 0.4321 0.6096
Se 0.7500 0.2919 0.6782
Se 0.7500 0.7919 0.8218
Se 0.2500 0.7081 0.3218
Se 0.2500 0.2081 0.1782
Se 0.7500 0.3644 0.9697
Se 0.7500 0.8644 0.5303
Se 0.2500 0.6356 0.0303
Se 0.2500 0.1356 0.4697
Se 0.7500 0.9770 0.2843
Se 0.7500 0.4770 0.2157
Se 0.2500 0.0230 0.7157
Se 0.2500 0.5230 0.7843
Se 0.7500 0.0900 0.9193
Se 0.7500 0.5900 0.5807
Se 0.2500 0.9100 0.0807
Se 0.2500 0.4100 0.4193

## Properties
E_form (uncorrected): -2165 meV/atom



Entry from the Alexandria database: EuErTl2 at its PBEsol-relaxed geometry (meta-GGA SCAN).

Lattice parameters (Å, degrees): 5.3482 5.3482 5.3482 60.00 60.00 60.00
Sites, in units of the cell vectors:
Eu 0.0000 0.0000 0.0000
Tl 0.2500 0.2500 0.2500
Tl 0.7500 0.7500 0.7500
Er 0.5000 0.5000 0.5000

## Properties
VASP energy: -250.92 eV/cell



Entry from the Alexandria database: ErF3 at its PBEsol-relaxed geometry (meta-GGA SCAN).

Lattice parameters (Å, degrees): 4.3254 6.2368 6.7475 90.00 90.00 90.00
Sites, in units of the cell vectors:
Er 0.9378 0.3696 0.7500
Er 0.4378 0.1304 0.2500
Er 0.0622 0.6304 0.2500
Er 0.5622 0.8696 0.7500
F 0.4092 0.5229 0.7500
F 0.9092 0.9771 0.2500
F 0.5908 0.4771 0.2500
F 0.0908 0.0229 0.7500
F 0.6239 0.1652 0.9376
F 0.1239 0.3348 0.0624
F 0.3761 0.8348 0.4376
F 0.8761 0.6652 0.5624
F 0.3761 0.8348 0.0624
F 0.8761 0.6652 0.9376
F 0.6239 0.1652 0.5624
F 0.1239 0.3348 0.4376

## Properties
E_form (uncorrected): -4467 meV/atom



Entry from the Alexandria database: K3ErF6 at its PBEsol-relaxed geometry (meta-GGA SCAN).

Lattice parameters (Å, degrees): 6.4970 6.4970 6.4970 60.00 60.00 60.00
Sites, in units of the cell vectors:
K 0.7500 0.7500 0.7500
K 0.2500 0.2500 0.2500
K 0.5000 0.5000 0.5000
F 0.7690 0.2310 0.7690
F 0.7690 0.7690 0.2310
F 0.2310 0.2310 0.7690
F 0.7690 0.2310 0.2310
F 0.2310 0.7690 0.2310
F 0.2310 0.7690 0.7690
Er 0.0000 0.0000 0.0000

## Properties
E_form (uncorrected): -3484 meV/atom